Ce2MgGe4Ir3 after structural relaxation. Source: Alexandria, functional GGA-PBE.

abc: 4.2556 4.2556 10.5088
angles: 90.00 90.00 90.00
Last column: nearest neighbours and their distance in Å.
Element x y z (fractional)
1 Ir 0.5000 0.0000 0.8762  5 Ge 2.44-2.49
2 Ir 0.0000 0.0000 0.5000  4 Ge 2.61
3 Ir 0.0000 0.5000 0.1238  5 Ge 2.44-2.49
4 Ge 0.0000 0.0000 0.0000  4 Ir 2.49
5 Ge 0.5000 0.0000 0.6436  3 Ir 2.44-2.61, 2 Mg 2.61
6 Ge 0.5000 0.5000 0.0000  4 Ir 2.49
7 Ge 0.0000 0.5000 0.3564  3 Ir 2.44-2.61, 2 Mg 2.61
8 Ce 0.0000 0.5000 0.7617  6 Ir 3.24-3.48, 8 Ge 3.26-3.29, 2 Mg 3.48
9 Ce 0.5000 0.0000 0.2383  6 Ir 3.24-3.48, 8 Ge 3.26-3.29, 2 Mg 3.48
10 Mg 0.5000 0.5000 0.5000  4 Ge 2.61

Output
energy of formation = -0.69 eV/atom
volume = 19.0 Å³/atom
total magnetic moment = 0.52 μB per cell
calculated total energy = -6.5427 eV/atom

CeGe2MoIr after structural relaxation. Source: Alexandria, functional GGA-PBE.

abc: 4.3106 4.3106 5.9598
angles: 111.20 111.20 90.00
Last column: nearest neighbours and their distance in Å.
Element x y z (fractional)
1 Mo 0.7500 0.2500 0.5000  4 Ge 2.51
2 Ge 0.6250 0.6250 0.2500  2 Mo 2.51, 2 Ir 2.51, 1 Ge 2.56
3 Ge 0.3750 0.3750 0.7500  2 Mo 2.51, 2 Ir 2.51, 1 Ge 2.56
4 Ir 0.2500 0.7500 0.5000  4 Ge 2.51
5 Ce 0.0000 0.0000 0.0000  8 Ge 3.31, 4 Mo 3.35, 4 Ir 3.35

Output
energy of formation = -0.50 eV/atom
volume = 19.0 Å³/atom
total magnetic moment = 1.13 μB per cell
calculated total energy = -7.4694 eV/atom

CeGeIrN after structural relaxation. Source: Alexandria, functional GGA-PBE.

abc: 4.0376 4.0376 8.3383
angles: 90.00 90.00 90.00
Last column: nearest neighbours and their distance in Å.
Element x y z (fractional)
1 Ge 0.5000 0.0000 0.6638  1 N 1.90
2 Ge 0.0000 0.5000 0.3362  1 N 1.90
3 Ir 0.5000 0.5000 0.5000  4 Ge 2.44
4 Ir 0.0000 0.0000 0.5000  4 Ge 2.44
5 Ce 0.5000 0.0000 0.1571  1 N 2.22
6 Ce 0.0000 0.5000 0.8429  1 N 2.22
7 N 0.5000 0.0000 0.8914  1 Ge 1.90
8 N 0.0000 0.5000 0.1086  1 Ge 1.90

Output
volume = 17.0 Å³/atom
E_form (uncorrected) = -845 meV/atom
total magnetic moment = 1.01 μB per cell
calculated total energy = -7.7793 eV/atom

Ce2NbGe3Ir4 after structural relaxation. Source: Alexandria, functional GGA-PBE.

abc: 4.2002 4.2002 10.6554
angles: 90.00 90.00 90.00
Last column: nearest neighbours and their distance in Å.
Element x y z (fractional)
1 Ir 0.5000 0.0000 0.6406  3 Ge 2.46-2.58, 2 Nb 2.58
2 Ir 0.0000 0.5000 0.3594  3 Ge 2.46-2.58, 2 Nb 2.58
3 Ir 0.0000 0.0000 0.0000  4 Ge 2.51
4 Ir 0.5000 0.5000 0.0000  4 Ge 2.51
5 Ge 0.5000 0.0000 0.8712  5 Ir 2.46-2.51
6 Ge 0.0000 0.0000 0.5000  4 Ir 2.58
7 Ge 0.0000 0.5000 0.1288  5 Ir 2.46-2.51
8 Nb 0.5000 0.5000 0.5000  4 Ir 2.58
9 Ce 0.0000 0.5000 0.7569  6 Ge 3.21-3.45, 8 Ir 3.22-3.33, 2 Nb 3.45
10 Ce 0.5000 0.0000 0.2431  6 Ge 3.21-3.45, 8 Ir 3.22-3.33, 2 Nb 3.45

Output
energy of formation = -0.75 eV/atom
volume = 18.8 Å³/atom
total magnetic moment = 0.73 μB per cell
calculated total energy = -7.8719 eV/atom

Ce2NdGe3Ir4 after structural relaxation. Source: Alexandria, functional GGA-PBE.

abc: 4.1874 4.1874 11.5017
angles: 90.00 90.00 90.00
Last column: nearest neighbours and their distance in Å.
Element x y z (fractional)
1 Ir 0.5000 0.0000 0.6691  1 Ge 2.44
2 Ir 0.0000 0.0000 0.0000  4 Ge 2.50
3 Ir 0.5000 0.5000 0.0000  4 Ge 2.50
4 Ir 0.0000 0.5000 0.3309  1 Ge 2.44
5 Ce 0.5000 0.0000 0.2273  8 Ir 3.19-3.35, 4 Ge 3.21
6 Ce 0.0000 0.5000 0.7727  8 Ir 3.19-3.35, 4 Ge 3.21
7 Nd 0.5000 0.5000 0.5000  4 Ir 2.86, 4 Ge 2.96
8 Ge 0.0000 0.0000 0.5000  4 Ir 2.86, 4 Nd 2.96
9 Ge 0.0000 0.5000 0.1188  5 Ir 2.44-2.50
10 Ge 0.5000 0.0000 0.8812  5 Ir 2.44-2.50

Output
energy of formation = -0.71 eV/atom
volume = 20.2 Å³/atom
total magnetic moment = 1.39 μB per cell
calculated total energy = -7.2998 eV/atom

Ce2NiGe4Ir3 after structural relaxation. Source: Alexandria, functional GGA-PBE.

abc: 4.2558 4.2558 10.0568
angles: 90.00 90.00 90.00
Last column: nearest neighbours and their distance in Å.
Element x y z (fractional)
1 Ge 0.0000 0.0000 0.0000  4 Ir 2.50
2 Ge 0.5000 0.5000 0.0000  4 Ir 2.50
3 Ge 0.0000 0.5000 0.3740  3 Ir 2.45-2.48, 2 Ni 2.48
4 Ge 0.5000 0.0000 0.6260  3 Ir 2.45-2.48, 2 Ni 2.48
5 Ir 0.5000 0.0000 0.8695  5 Ge 2.45-2.50
6 Ir 0.0000 0.0000 0.5000  4 Ge 2.48
7 Ir 0.0000 0.5000 0.1305  5 Ge 2.45-2.50
8 Ce 0.5000 0.0000 0.2472  6 Ir 3.23-3.32, 8 Ge 3.27, 2 Ni 3.32
9 Ce 0.0000 0.5000 0.7528  6 Ir 3.23-3.32, 8 Ge 3.27, 2 Ni 3.32
10 Ni 0.5000 0.5000 0.5000  4 Ge 2.48

Output
energy of formation = -0.72 eV/atom
volume = 18.2 Å³/atom
total magnetic moment = 1.10 μB per cell
calculated total energy = -6.9918 eV/atom

Ce3Ni2Ge6Ir after structural relaxation. Source: Alexandria, functional GGA-PBE.

abc: 6.0835 6.0835 7.4734
angles: 90.00 90.00 120.00
Last column: nearest neighbours and their distance in Å.
Element x y z (fractional)
1 Ge 0.1902 0.8098 0.2938  1 Ni 2.49, 1 Ir 2.53, 2 Ge 2.61
2 Ge 0.8098 0.1902 0.7062  1 Ni 2.49, 1 Ir 2.53, 2 Ge 2.61
3 Ge 0.1902 0.3803 0.2938  1 Ni 2.49, 1 Ir 2.53, 2 Ge 2.61
4 Ge 0.6197 0.8098 0.2938  1 Ni 2.49, 1 Ir 2.53, 2 Ge 2.61
5 Ge 0.8098 0.6197 0.7062  1 Ni 2.49, 1 Ir 2.53, 2 Ge 2.61
6 Ge 0.3803 0.1902 0.7062  1 Ni 2.49, 1 Ir 2.53, 2 Ge 2.61
7 Ce 0.6667 0.3333 0.3343  1 Ni 2.71
8 Ce 0.3333 0.6667 0.6657  1 Ni 2.71
9 Ce 0.0000 0.0000 0.0000  6 Ge 2.97
10 Ni 0.3333 0.6667 0.0289  3 Ge 2.49, 1 Ce 2.71
11 Ni 0.6667 0.3333 0.9711  3 Ge 2.49, 1 Ce 2.71
12 Ir 0.0000 0.0000 0.5000  6 Ge 2.53

Output
energy of formation = -0.31 eV/atom
volume = 20.0 Å³/atom
total magnetic moment = 0.99 μB per cell
calculated total energy = -5.8068 eV/atom

Ce2Ni3Ge4Ir after structural relaxation. Source: Alexandria, functional GGA-PBE.

abc: 4.1410 4.1410 9.8573
angles: 90.00 90.00 90.00
Last column: nearest neighbours and their distance in Å.
Element x y z (fractional)
1 Ce 0.0000 0.5000 0.7535  8 Ge 3.14-3.19, 6 Ni 3.17-3.25, 2 Ir 3.25
2 Ce 0.5000 0.0000 0.2465  8 Ge 3.14-3.19, 6 Ni 3.17-3.25, 2 Ir 3.25
3 Ni 0.0000 0.5000 0.1226  5 Ge 2.35-2.40
4 Ni 0.5000 0.0000 0.8774  5 Ge 2.35-2.40
5 Ni 0.0000 0.0000 0.5000  4 Ge 2.48
6 Ge 0.5000 0.0000 0.6394  3 Ni 2.35-2.48, 2 Ir 2.48
7 Ge 0.5000 0.5000 0.0000  4 Ni 2.40
8 Ge 0.0000 0.0000 0.0000  4 Ni 2.40
9 Ge 0.0000 0.5000 0.3606  3 Ni 2.35-2.48, 2 Ir 2.48
10 Ir 0.5000 0.5000 0.5000  4 Ge 2.48

Output
energy of formation = -0.71 eV/atom
volume = 16.9 Å³/atom
total magnetic moment = 0.00 μB per cell
calculated total energy = -6.3659 eV/atom

Ce2Ni4Ge3Ir after structural relaxation. Source: Alexandria, functional GGA-PBE.

abc: 3.9281 3.9281 10.6277
angles: 90.00 90.00 90.00
Last column: nearest neighbours and their distance in Å.
Element x y z (fractional)
1 Ge 0.0000 0.5000 0.1248  5 Ni 2.36-2.37
2 Ge 0.0000 0.0000 0.5000  4 Ni 2.55, 4 Ir 2.78
3 Ge 0.5000 0.0000 0.8752  5 Ni 2.36-2.37
4 Ce 0.0000 0.5000 0.7404  4 Ni 2.93, 6 Ge 3.13-3.22, 2 Ir 3.22
5 Ce 0.5000 0.0000 0.2596  4 Ni 2.93, 6 Ge 3.13-3.22, 2 Ir 3.22
6 Ni 0.0000 0.5000 0.3464  3 Ge 2.36-2.55, 2 Ir 2.55
7 Ni 0.5000 0.5000 0.0000  4 Ge 2.37
8 Ni 0.0000 0.0000 0.0000  4 Ge 2.37
9 Ni 0.5000 0.0000 0.6536  3 Ge 2.36-2.55, 2 Ir 2.55
10 Ir 0.5000 0.5000 0.5000  4 Ni 2.55, 4 Ge 2.78

Output
energy of formation = -0.58 eV/atom
volume = 16.4 Å³/atom
total magnetic moment = 0.00 μB per cell
calculated total energy = -6.3539 eV/atom

Ce2NpGe3Ir4 after structural relaxation. Source: Alexandria, functional GGA-PBE.

abc: 4.2222 4.2222 10.9912
angles: 90.00 90.00 90.00
Last column: nearest neighbours and their distance in Å.
Element x y z (fractional)
1 Ge 0.0000 0.5000 0.1236  5 Ir 2.46-2.51
2 Ge 0.0000 0.0000 0.5000  4 Ir 2.69, 4 Np 2.99
3 Ge 0.5000 0.0000 0.8764  5 Ir 2.46-2.51
4 Ir 0.5000 0.5000 0.0000  4 Ge 2.51
5 Ir 0.0000 0.5000 0.3477  3 Ge 2.46-2.69, 2 Np 2.69
6 Ir 0.5000 0.0000 0.6523  3 Ge 2.46-2.69, 2 Np 2.69
7 Ir 0.0000 0.0000 0.0000  4 Ge 2.51
8 Ce 0.5000 0.0000 0.2338  6 Ge 3.22-3.61, 8 Ir 3.24-3.33, 2 Np 3.61
9 Ce 0.0000 0.5000 0.7662  6 Ge 3.22-3.61, 8 Ir 3.24-3.33, 2 Np 3.61
10 Np 0.5000 0.5000 0.5000  4 Ir 2.69, 4 Ge 2.99

Output
energy of formation = -0.68 eV/atom
volume = 19.6 Å³/atom
total magnetic moment = 4.81 μB per cell
calculated total energy = -8.0881 eV/atom

Q: Among the records above, which one has the highest calculated total energy?
A: Ce3Ni2Ge6Ir